First-principles (PBE) data for a relaxed structure of AgSb2Rh, as listed in Alexandria via LeMat-Bulk.

Summary:
The distance to the lowest polymorph of the same formula is 22.9 kJ per mole of atoms. The uncorrected formation energy comes out at 0.604 eV/f.u. For the total magnetic moment, the calculation gives 0.00 μB per formula unit. The value obtained for the density of states at the Fermi level is 0.8561 states/eV per atom. The value obtained for the total energy is -4.46 eV/atom.

Unit cell a=6.665 b=6.665 c=9.758 alpha=90.00 beta=90.00 gamma=90.00
Space group I-42d (No. 122)
One atom of each set of equivalent atoms:
Ag (0.000, 0.000, 0.000)
Sb (0.223, 0.250, 0.625)
Rh (0.000, 0.000, 0.500)

First-principles (PBE) data for a relaxed structure of Ag2SbRh, as listed in Alexandria via LeMat-Bulk.

Summary:
The uncorrected formation energy comes out at 0.329 eV/f.u. For the total magnetic moment, the calculation gives 0.00 μB per formula unit. The value obtained for the density of states at the Fermi level is 0.6516 states/eV per atom. The value obtained for the total energy is -4.21 eV/atom.

Unit cell a=3.122 b=5.182 c=4.593 alpha=90.00 beta=91.06 gamma=90.00
Space group P2/m (No. 10)
One atom of each set of equivalent atoms:
Ag (0.246, 0.000, 0.246)
Sb (0.000, 0.500, 0.500)
Rh (0.500, 0.500, 0.000)

First-principles (PBE) data for a relaxed structure of AgSb2Rh, as listed in Alexandria via LeMat-Bulk.

Summary:
The distance to the lowest polymorph of the same formula is 9.4 kJ per mole of atoms. The uncorrected formation energy comes out at 0.041 eV/f.u. For the total magnetic moment, the calculation gives 0.00 μB per formula unit. The value obtained for the density of states at the Fermi level is 0.5205 states/eV per atom. The value obtained for the total energy is -4.60 eV/atom.

Unit cell a=9.372 b=3.549 c=5.345 alpha=90.00 beta=103.44 gamma=90.00
Space group Cm (No. 8)
One atom of each set of equivalent atoms:
Ag (0.000, 0.000, 0.000)
Sb (0.251, 0.000, 0.843)
Sb (0.476, 0.000, 0.423)
Rh (0.252, 0.500, 0.238)

First-principles (PBE) data for a relaxed structure of AgSb2Rh2, as listed in Alexandria via LeMat-Bulk.

Summary:
The distance to the lowest polymorph of the same formula is 12.2 kJ per mole of atoms. The uncorrected formation energy comes out at -0.337 eV/f.u. For the total magnetic moment, the calculation gives 0.00 μB per formula unit. The value obtained for the density of states at the Fermi level is 0.3790 states/eV per atom. The value obtained for the total energy is -5.23 eV/atom.

Unit cell a=4.139 b=4.139 c=12.401 alpha=90.00 beta=90.00 gamma=90.00
Space group I4/mmm (No. 139)
One atom of each set of equivalent atoms:
Ag (0.000, 0.000, 0.000)
Sb (0.000, 0.000, 0.378)
Rh (0.000, 0.500, 0.250)

Copy entry 2 word for word.
First-principles (PBE) data for a relaxed structure of Ag2SbRh, as listed in Alexandria via LeMat-Bulk.

Summary:
The uncorrected formation energy comes out at 0.329 eV/f.u. For the total magnetic moment, the calculation gives 0.00 μB per formula unit. The value obtained for the density of states at the Fermi level is 0.6516 states/eV per atom. The value obtained for the total energy is -4.21 eV/atom.

Unit cell a=3.122 b=5.182 c=4.593 alpha=90.00 beta=91.06 gamma=90.00
Space group P2/m (No. 10)
One atom of each set of equivalent atoms:
Ag (0.246, 0.000, 0.246)
Sb (0.000, 0.500, 0.500)
Rh (0.500, 0.500, 0.000)

Copy entry 3 word for word.
First-principles (PBE) data for a relaxed structure of AgSb2Rh, as listed in Alexandria via LeMat-Bulk.

Summary:
The distance to the lowest polymorph of the same formula is 9.4 kJ per mole of atoms. The uncorrected formation energy comes out at 0.041 eV/f.u. For the total magnetic moment, the calculation gives 0.00 μB per formula unit. The value obtained for the density of states at the Fermi level is 0.5205 states/eV per atom. The value obtained for the total energy is -4.60 eV/atom.

Unit cell a=9.372 b=3.549 c=5.345 alpha=90.00 beta=103.44 gamma=90.00
Space group Cm (No. 8)
One atom of each set of equivalent atoms:
Ag (0.000, 0.000, 0.000)
Sb (0.251, 0.000, 0.843)
Sb (0.476, 0.000, 0.423)
Rh (0.252, 0.500, 0.238)

Question: Number 3 is which compound?
Answer: AgSb2Rh